The following is a DFT calculation (PBE) of a relaxed structure of Hf2TcNiH.

a b c (Å): 4.535 4.535 3.355
angles (deg): 90.00 90.00 90.00
Atoms (fractional coordinates):
Hf  0.000  0.500  0.000
Hf  0.500  0.000  0.000
Tc  0.000  0.000  0.500
Ni  0.500  0.500  0.500
H  0.500  0.500  0.000

Results
Density of states at the Fermi level ... 2.54 states/eV/f.u.
Space group ... P4/mmm (123)
Distance to the lowest polymorph of the same formula ... 0.000 eV per atom


The following is a DFT calculation (PBE) of a relaxed structure of Hf2TcNiH.

a b c (Å): 4.481 4.481 3.518
angles (deg): 90.00 90.00 90.00
Atoms (fractional coordinates):
Hf  0.000  0.500  0.000
Hf  0.500  0.000  0.000
Tc  0.000  0.000  0.500
Ni  0.500  0.500  0.500
H  0.000  0.000  0.000

Results
Density of states at the Fermi level ... 4.30 states/eV/f.u.
Space group ... P4/mmm (123)
Distance to the lowest polymorph of the same formula ... 0.123 eV per atom


The following is a DFT calculation (PBE) of a relaxed structure of HfTc2NiH.

a b c (Å): 3.948 3.948 3.995
angles (deg): 90.00 90.00 90.00
Atoms (fractional coordinates):
Hf  0.000  0.000  0.000
Tc  0.000  0.500  0.500
Tc  0.500  0.000  0.500
Ni  0.500  0.500  0.000
H  0.500  0.500  0.500

Results
Raw total energy ... -8.11 eV/atom
Density of states at the Fermi level ... 4.39 states/eV/f.u.
Space group ... P4/mmm (123)


The following is a DFT calculation (PBE) of a relaxed structure of HfTcNi2H.

a b c (Å): 3.824 3.824 3.977
angles (deg): 90.00 90.00 90.00
Atoms (fractional coordinates):
Hf  0.000  0.000  0.000
Tc  0.500  0.500  0.000
Ni  0.000  0.500  0.500
Ni  0.500  0.000  0.500
H  0.500  0.500  0.500

Results
Raw total energy ... -7.30 eV/atom
Density of states at the Fermi level ... 5.36 states/eV/f.u.
Space group ... P4/mmm (123)


The following is a DFT calculation (PBE) of a relaxed structure of HfTi2NiH.

a b c (Å): 3.928 3.928 4.421
angles (deg): 90.00 90.00 90.00
Atoms (fractional coordinates):
Hf  0.000  0.000  0.000
Ti  0.000  0.500  0.500
Ti  0.500  0.000  0.500
Ni  0.500  0.500  0.000
H  0.000  0.000  0.500

Results
Raw total energy ... -7.15 eV/atom
Density of states at the Fermi level ... 7.43 states/eV/f.u.
Space group ... P4/mmm (123)


The following is a DFT calculation (PBE) of a relaxed structure of Hf2TiNiH.

a b c (Å): 4.433 4.433 3.720
angles (deg): 90.00 90.00 90.00
Atoms (fractional coordinates):
Hf  0.000  0.500  0.000
Hf  0.500  0.000  0.000
Ti  0.000  0.000  0.500
Ni  0.500  0.500  0.500
H  0.000  0.000  0.000

Results
Raw total energy ... -7.54 eV/atom
Density of states at the Fermi level ... 5.60 states/eV/f.u.
Space group ... P4/mmm (123)


The following is a DFT calculation (PBE) of a relaxed structure of Hf2VNiH.

a b c (Å): 4.482 4.482 3.473
angles (deg): 90.00 90.00 90.00
Atoms (fractional coordinates):
Hf  0.000  0.500  0.000
Hf  0.500  0.000  0.000
V  0.000  0.000  0.500
Ni  0.500  0.500  0.500
H  0.000  0.000  0.000

Results
Density of states at the Fermi level ... 4.83 states/eV/f.u.
Space group ... P4/mmm (123)
Distance to the lowest polymorph of the same formula ... 0.000 eV per atom


The following is a DFT calculation (PBE) of a relaxed structure of Hf2VNiH.

a b c (Å): 4.553 4.553 3.384
angles (deg): 90.00 90.00 90.00
Atoms (fractional coordinates):
Hf  0.000  0.500  0.000
Hf  0.500  0.000  0.000
V  0.000  0.000  0.500
Ni  0.500  0.500  0.500
H  0.500  0.500  0.000

Results
Density of states at the Fermi level ... 5.29 states/eV/f.u.
Space group ... P4/mmm (123)
Distance to the lowest polymorph of the same formula ... 0.004 eV per atom


The following is a DFT calculation (PBE) of a relaxed structure of Hf2NiHW.

a b c (Å): 4.595 4.595 3.371
angles (deg): 90.00 90.00 90.00
Atoms (fractional coordinates):
Hf  0.000  0.500  0.000
Hf  0.500  0.000  0.000
Ni  0.000  0.000  0.500
H  0.000  0.000  0.000
W  0.500  0.500  0.500

Results
Raw total energy ... -8.60 eV/atom
Density of states at the Fermi level ... 3.45 states/eV/f.u.
Space group ... P4/mmm (123)


The following is a DFT calculation (PBE) of a relaxed structure of HfZnNi2H.

a b c (Å): 3.882 3.882 3.962
angles (deg): 90.00 90.00 90.00
Atoms (fractional coordinates):
Hf  0.000  0.000  0.000
Zn  0.500  0.500  0.000
Ni  0.000  0.500  0.500
Ni  0.500  0.000  0.500
H  0.000  0.000  0.500

Results
Raw total energy ... -5.38 eV/atom
Density of states at the Fermi level ... 4.64 states/eV/f.u.
Space group ... P4/mmm (123)


The following is a DFT calculation (PBE) of a relaxed structure of Hf2ZnNiH.

a b c (Å): 4.431 4.431 3.560
angles (deg): 90.00 90.00 90.00
Atoms (fractional coordinates):
Hf  0.000  0.500  0.000
Hf  0.500  0.000  0.000
Zn  0.000  0.000  0.500
Ni  0.500  0.500  0.500
H  0.500  0.500  0.000

Results
Raw total energy ... -6.35 eV/atom
Density of states at the Fermi level ... 4.75 states/eV/f.u.
Space group ... P4/mmm (123)


The following is a DFT calculation (PBE) of a relaxed structure of HfNp2H8.

a b c (Å): 6.434 6.434 6.434
angles (deg): 146.94 137.97 54.49
Atoms (fractional coordinates):
Hf  0.000  0.000  0.000
Np  0.328  0.328  0.000
Np  0.672  0.672  0.000
H  0.094  0.855  0.239
H  0.205  0.705  0.500
H  0.238  0.500  0.738
H  0.384  0.145  0.239
H  0.616  0.855  0.761
H  0.762  0.500  0.262
H  0.795  0.295  0.500
H  0.906  0.145  0.761

Results
Raw total energy ... -5.98 eV/atom
Density of states at the Fermi level ... 9.96 states/eV/f.u.
Space group ... Immm (71)